No. 1
LiNbO2F2 (PBE-GGA, optimized geometry); space-group type = P2_1/c; VASP energy = -7.0776 eV/atom; formation energy without anion corrections = -2803.8 meV/atom; crystal system = monoclinic
1.0
-0.845 3.578 -3.561
-7.068 -2.499 -0.832
-3.904 4.191 5.137
Li Nb F O
4 4 8 8
direct
0.736 0.664 0.643 Li
0.264 0.336 0.357 Li
0.764 0.164 0.643 Li
0.236 0.836 0.357 Li
0.766 0.164 0.167 Nb
0.266 0.336 0.833 Nb
0.234 0.836 0.833 Nb
0.734 0.664 0.167 Nb
0.925 0.195 0.406 F
0.065 0.586 0.312 F
0.425 0.305 0.594 F
0.075 0.805 0.594 F
0.575 0.695 0.406 F
0.435 0.086 0.312 F
0.565 0.914 0.688 F
0.935 0.414 0.688 F
0.107 0.068 0.805 O
0.569 0.199 0.949 O
0.431 0.801 0.051 O
0.069 0.301 0.051 O
0.893 0.932 0.195 O
0.607 0.432 0.195 O
0.393 0.568 0.805 O
0.931 0.699 0.949 O



No. 2
Ce2GaIr2 (PBE-GGA, optimized geometry); space-group type = C2/c; VASP energy = -7.3124 eV/atom; ΔH_f (0 K) = -0.789 eV per atom; crystal system = monoclinic
1.0
-0.957 5.534 -0.966
-4.927 2.563 1.275
1.322 3.562 7.062
Ir Ga Ce
4 2 4
direct
0.009 0.728 0.013 Ir
0.991 0.272 0.987 Ir
0.272 0.991 0.487 Ir
0.728 0.009 0.513 Ir
0.155 0.845 0.250 Ga
0.845 0.155 0.750 Ga
0.805 0.491 0.350 Ce
0.195 0.509 0.650 Ce
0.491 0.805 0.850 Ce
0.509 0.195 0.150 Ce



No. 3
CaMg2GeN4 (PBE-GGA, optimized geometry); space-group type = Pmn2_1; VASP energy = -5.7111 eV/atom; formation energy without anion corrections = -322.4 meV/atom; crystal system = orthorhombic
1.0
5.428 0.000 0.000
0.000 5.882 0.000
0.000 0.000 7.117
Ca Ge N Mg
2 2 8 4
direct
0.983 0.179 0.500 Ca
0.483 0.821 0.000 Ca
0.000 0.192 0.000 Ge
0.500 0.808 0.500 Ge
0.441 0.123 0.500 N
0.845 0.804 0.500 N
0.941 0.877 0.000 N
0.373 0.654 0.707 N
0.873 0.346 0.793 N
0.373 0.654 0.293 N
0.873 0.346 0.207 N
0.345 0.196 0.000 N
0.993 0.681 0.247 Mg
0.993 0.681 0.753 Mg
0.493 0.319 0.747 Mg
0.493 0.319 0.253 Mg



No. 4
Cs2TcBr7 (PBE-GGA, optimized geometry); space-group type = I4/mmm; VASP energy = -3.2517 eV/atom; formation energy without anion corrections = -873.4 meV/atom; crystal system = tetragonal
1.0
-4.533 3.806 5.344
-2.763 -6.999 2.641
0.878 -1.863 8.021
Br Cs Tc
7 2 1
direct
0.227 0.773 0.000 Br
0.791 0.791 0.418 Br
0.773 0.773 0.000 Br
0.227 0.227 0.000 Br
0.773 0.227 0.000 Br
0.500 0.500 0.000 Br
0.209 0.209 0.582 Br
0.250 0.750 0.500 Cs
0.750 0.250 0.500 Cs
0.000 0.000 0.000 Tc



VASP energy of number 4 (Cs2TcBr7)?
-3.2517 eV/atom



Look up the VASP energy of the fourth one.
-3.2517 eV/atom



Number 1 is which compound?
LiNbO2F2



What is the VASP energy in the first record?
-7.0776 eV/atom